#P
Density functional theory data (PBE-GGA) for a relaxed Tb2GdHo crystal.

Output
- total magnetization (μB/f.u.) = 7.2
- N(E_F) (states/eV/atom) = 1.44

a = 3.5553 Å, b = 3.5553 Å, c = 10.0594 Å
α = 90.00°, β = 90.00°, γ = 90.00°
Positions (direct):
Tb  0.0000  0.0000  0.2473
Ho  0.5000  0.5000  0.0000
Gd  0.5000  0.5000  0.5000
Tb  0.0000  0.0000  0.7527



#Q
Density functional theory data (PBE-GGA) for a relaxed Tb2GdHo crystal.

Output
- total magnetization (μB/f.u.) = 9.0
- N(E_F) (states/eV/atom) = 1.91

a = 5.6707 Å, b = 5.6707 Å, c = 5.6707 Å
α = 60.00°, β = 60.00°, γ = 60.00°
Positions (direct):
Tb  0.7500  0.7500  0.7500
Gd  0.5000  0.5000  0.5000
Ho  0.0000  0.0000  0.0000
Tb  0.2500  0.2500  0.2500



Stability summary: most stable #P, least stable #Q.



#P
Density functional theory data (PBE-GGA) for a relaxed GdHo2Tc crystal.

Output
- total magnetization (μB/f.u.) = 8.1
- N(E_F) (states/eV/atom) = 1.52

a = 3.4677 Å, b = 3.4677 Å, c = 8.7342 Å
α = 90.00°, β = 90.00°, γ = 90.00°
Positions (direct):
Ho  0.0000  0.0000  0.1857
Ho  0.0000  0.0000  0.8143
Gd  0.5000  0.5000  0.5000
Tc  0.5000  0.5000  0.0000



#Q
Density functional theory data (PBE-GGA) for a relaxed GdHo2Tc crystal.

Output
- total magnetization (μB/f.u.) = 7.3
- N(E_F) (states/eV/atom) = 1.31

a = 5.1504 Å, b = 5.1504 Å, c = 5.1475 Å
α = 59.98°, β = 59.98°, γ = 60.00°
Positions (direct):
Ho  0.7501  0.7501  0.7498
Ho  0.2499  0.2499  0.2502
Tc  0.0000  0.0000  0.0000
Gd  0.5000  0.5000  0.5000



Stability summary: most stable #P, least stable #Q.



#P
Density functional theory data (PBE-GGA) for a relaxed Gd2HoTc crystal.

Output
- total magnetization (μB/f.u.) = 13.8
- N(E_F) (states/eV/atom) = 1.31

a = 3.4635 Å, b = 3.4635 Å, c = 8.8842 Å
α = 90.00°, β = 90.00°, γ = 90.00°
Positions (direct):
Tc  0.5000  0.5000  0.0000
Gd  0.0000  0.0000  0.1888
Gd  0.0000  0.0000  0.8112
Ho  0.5000  0.5000  0.5000



#Q
Density functional theory data (PBE-GGA) for a relaxed Gd2HoTc crystal.

Output
- total magnetization (μB/f.u.) = 14.4
- N(E_F) (states/eV/atom) = 1.42

a = 3.4947 Å, b = 3.4947 Å, c = 10.3956 Å
α = 80.32°, β = 80.32°, γ = 60.00°
Positions (direct):
Ho  0.5000  0.5000  0.5000
Tc  0.0000  0.0000  0.0000
Gd  0.2672  0.2672  0.1984
Gd  0.7328  0.7328  0.8016



Stability summary: most stable #P, least stable #Q.



#P
Density functional theory data (PBE-GGA) for a relaxed GdHoTe crystal.

Output
- total magnetization (μB/f.u.) = 7.3
- N(E_F) (states/eV/atom) = 0.80

a = 3.8754 Å, b = 3.8754 Å, c = 6.4194 Å
α = 107.57°, β = 107.57°, γ = 90.00°
Positions (direct):
Gd  0.0099  0.0099  0.0197
Te  0.6710  0.6710  0.3420
Ho  0.3191  0.3191  0.6383



#Q
Density functional theory data (PBE-GGA) for a relaxed GdHoTe crystal.

Output
- total magnetization (μB/f.u.) = 7.2
- N(E_F) (states/eV/atom) = 1.04

a = 3.9949 Å, b = 5.1595 Å, c = 5.1595 Å
α = 120.00°, β = 90.00°, γ = 90.00°
Positions (direct):
Ho  0.1048  0.0000  0.0000
Gd  0.5974  0.3333  0.6667
Te  0.2978  0.6667  0.3333



Stability summary: most stable #P, least stable #Q.



#P
Density functional theory data (PBE-GGA) for a relaxed GdHoTh2 crystal.

Output
- total magnetization (μB/f.u.) = 7.0
- N(E_F) (states/eV/atom) = 1.74

a = 5.6496 Å, b = 5.6496 Å, c = 5.6496 Å
α = 60.00°, β = 60.00°, γ = 60.00°
Positions (direct):
Th  0.7500  0.7500  0.7500
Gd  0.5000  0.5000  0.5000
Ho  0.0000  0.0000  0.0000
Th  0.2500  0.2500  0.2500



#Q
Density functional theory data (PBE-GGA) for a relaxed GdHoTh2 crystal.

Output
- total magnetization (μB/f.u.) = 7.5
- N(E_F) (states/eV/atom) = 1.65

a = 3.4670 Å, b = 3.4670 Å, c = 12.6701 Å
α = 82.14°, β = 82.14°, γ = 60.00°
Positions (direct):
Th  0.0866  0.0866  0.7402
Ho  0.0000  0.0000  0.0000
Th  0.9134  0.9134  0.2598
Gd  0.5000  0.5000  0.5000



Stability summary: most stable #P, least stable #Q.



#P
Density functional theory data (PBE-GGA) for a relaxed Gd2HoTi crystal.

Output
- total magnetization (μB/f.u.) = 16.4
- N(E_F) (states/eV/atom) = 1.59

a = 3.3479 Å, b = 3.3479 Å, c = 11.9053 Å
α = 81.92°, β = 81.92°, γ = 60.00°
Positions (direct):
Gd  0.0835  0.0835  0.7496
Ho  0.5000  0.5000  0.5000
Gd  0.9165  0.9165  0.2504
Ti  0.0000  0.0000  0.0000



#Q
Density functional theory data (PBE-GGA) for a relaxed Gd2HoTi crystal.

Output
- total magnetization (μB/f.u.) = 14.2
- N(E_F) (states/eV/atom) = 1.49

a = 3.4075 Å, b = 3.4075 Å, c = 9.4938 Å
α = 90.00°, β = 90.00°, γ = 90.00°
Positions (direct):
Gd  0.0000  0.0000  0.2218
Ti  0.5000  0.5000  0.0000
Ho  0.5000  0.5000  0.5000
Gd  0.0000  0.0000  0.7782



Stability summary: most stable #Q, least stable #P.



#P
Density functional theory data (PBE-GGA) for a relaxed Gd2HoTl crystal.

Output
- total magnetization (μB/f.u.) = 15.8
- N(E_F) (states/eV/atom) = 1.00

a = 5.4855 Å, b = 5.4855 Å, c = 5.4855 Å
α = 60.00°, β = 60.00°, γ = 60.00°
Positions (direct):
Gd  0.2500  0.2500  0.2500
Ho  0.0000  0.0000  0.0000
Gd  0.7500  0.7500  0.7500
Tl  0.5000  0.5000  0.5000



#Q
Density functional theory data (PBE-GGA) for a relaxed Gd2HoTl crystal.

Output
- total magnetization (μB/f.u.) = 14.9
- N(E_F) (states/eV/atom) = 1.43

a = 3.6349 Å, b = 3.6349 Å, c = 9.1933 Å
α = 90.00°, β = 90.00°, γ = 90.00°
Positions (direct):
Ho  0.5000  0.5000  0.5000
Tl  0.5000  0.5000  0.0000
Gd  0.0000  0.0000  0.7677
Gd  0.0000  0.0000  0.2323



Stability summary: most stable #Q, least stable #P.



#P
Density functional theory data (PBE-GGA) for a relaxed Gd2HoTl crystal.

Output
- total magnetization (μB/f.u.) = 15.6
- N(E_F) (states/eV/atom) = 0.90

a = 4.9111 Å, b = 4.8401 Å, c = 4.8401 Å
α = 90.00°, β = 90.00°, γ = 90.00°
Positions (direct):
Tl  0.5000  0.5000  0.5000
Ho  0.5000  0.0000  0.0000
Gd  0.0000  0.5000  0.0000
Gd  0.0000  0.0000  0.5000



#Q
Density functional theory data (PBE-GGA) for a relaxed Gd2HoTl crystal.

Output
- total magnetization (μB/f.u.) = 14.9
- N(E_F) (states/eV/atom) = 1.10

a = 3.5382 Å, b = 3.5382 Å, c = 12.2646 Å
α = 81.71°, β = 81.71°, γ = 60.00°
Positions (direct):
Gd  0.0890  0.0890  0.7330
Ho  0.5000  0.5000  0.5000
Tl  0.0000  0.0000  0.0000
Gd  0.9110  0.9110  0.2670



Stability summary: most stable #P, least stable #Q.